A crystal of ZrAlSi2 relaxed with PBEsol. Source: Alexandria, functional SCAN.

The space-group type is Pmm2. The electronic total energy is -14.831 eV/atom. For the volume, the calculation gives 65.3 Å³ per cell. As for the uncorrected formation energy: -0.21 eV per atom. As for the total magnetization: 0.0001 μB/atom.

abc: 2.855 4.586 4.985
angles: 90.00 90.00 90.00
Atoms (fractional coordinates):
Si (0.500, 0.000, 0.004)
Si (0.500, 0.500, 0.741)
Al (0.500, 0.500, 0.247)
Zr (0.000, 0.000, 0.508)